DFT (PBE) results for a relaxed Ba2ZrZn crystal.

```
Ba2ZrZn
1.0
3.903 0.000 0.000
0.000 5.077 0.000
-1.938 0.000 7.293
Ba Zr Zn
2 1 1
Direct
0.000 0.000 0.000
0.299 0.500 0.607
0.694 0.000 0.401
0.611 0.500 0.221
```

- ΔH_f (0 K): 1.258 eV/f.u.
- Magnetic moment: 0.000 μB per formula unit
- Uncorrected energy: -3.102 eV per atom

---

DFT (PBE) results for a relaxed Ba2ZrZn crystal.

```
Ba2ZrZn
1.0
9.304 0.000 0.000
0.000 9.304 0.000
0.000 0.000 6.632
Ba Zr Zn
8 4 4
Direct
0.214 0.250 0.125
0.250 0.714 0.375
0.250 0.786 0.875
0.286 0.250 0.625
0.714 0.750 0.625
0.750 0.214 0.875
0.750 0.286 0.375
0.786 0.750 0.125
0.000 0.000 0.500
0.000 0.500 0.750
0.500 0.000 0.250
0.500 0.500 0.000
0.000 0.000 0.000
0.000 0.500 0.250
0.500 0.000 0.750
0.500 0.500 0.500
```

- ΔH_f (0 K): 2.509 eV/f.u.
- Magnetic moment: 2.000 μB per formula unit
- Uncorrected energy: -2.790 eV per atom

---

DFT (PBE) results for a relaxed BaZrZn crystal.

```
BaZrZn
1.0
3.692 0.000 0.000
0.000 3.692 0.000
0.000 0.000 12.980
Ba Zr Zn
2 2 2
Direct
0.250 0.250 0.148
0.750 0.750 0.852
0.250 0.250 0.429
0.750 0.750 0.571
0.250 0.250 0.667
0.750 0.750 0.333
```

- ΔH_f (0 K): -0.116 eV/f.u.
- Magnetic moment: 0.000 μB per formula unit
- Uncorrected energy: -3.954 eV per atom
- Energy above the lowest structure with this stoichiometry: 0.00 kcal/mol of atoms

---

DFT (PBE) results for a relaxed BaZrZn2 crystal.

```
BaZrZn2
1.0
4.399 0.000 0.000
0.000 4.399 0.000
0.000 0.000 10.232
Ba Zr Zn
2 2 4
Direct
0.000 0.000 0.000
0.500 0.500 0.500
0.000 0.500 0.250
0.500 0.000 0.750
0.000 0.000 0.500
0.000 0.500 0.750
0.500 0.000 0.250
0.500 0.500 0.000
```

- ΔH_f (0 K): 1.396 eV/f.u.
- Magnetic moment: 0.000 μB per formula unit
- Uncorrected energy: -2.906 eV per atom
- Energy above the lowest structure with this stoichiometry: 9.99 kcal/mol of atoms

---

DFT (PBE) results for a relaxed BaZrZn crystal.

```
BaZrZn
1.0
4.668 0.000 0.000
-2.334 4.042 0.000
0.000 0.000 5.140
Ba Zr Zn
1 1 1
Direct
0.000 0.000 0.000
0.333 0.667 0.500
0.667 0.333 0.500
```

- ΔH_f (0 K): 1.147 eV/f.u.
- Magnetic moment: 0.000 μB per formula unit
- Uncorrected energy: -3.533 eV per atom
- Energy above the lowest structure with this stoichiometry: 9.71 kcal/mol of atoms

---

DFT (PBE) results for a relaxed BaZrZn2 crystal.

```
BaZrZn2
1.0
8.071 0.000 0.000
0.000 8.071 0.000
0.000 0.000 7.203
Ba Zr Zn
4 4 8
Direct
0.000 0.000 0.000
0.000 0.500 0.250
0.500 0.000 0.750
0.500 0.500 0.500
0.000 0.000 0.500
0.000 0.500 0.750
0.500 0.000 0.250
0.500 0.500 0.000
0.193 0.250 0.625
0.250 0.693 0.875
0.250 0.807 0.375
0.307 0.250 0.125
0.693 0.750 0.125
0.750 0.193 0.375
0.750 0.307 0.875
0.807 0.750 0.625
```

- ΔH_f (0 K): 1.481 eV/f.u.
- Magnetic moment: 0.000 μB per formula unit
- Uncorrected energy: -2.884 eV per atom
- Energy above the lowest structure with this stoichiometry: 10.48 kcal/mol of atoms

---

Q: What is the formula in the first record?
A: Ba2ZrZn